## Ho2Hf3Si4 (PBE)

Data for Ho2Hf3Si4 after structural relaxation.

DFT total energy	-136.41	eV/cell
Fermi-level density of states	0.74	states/eV per atom

CIF file:
```
data_Ho2Hf3Si4
_cell_length_a 7.258
_cell_length_b 7.255
_cell_length_c 7.048
_cell_angle_alpha 90.00
_cell_angle_beta 108.52
_cell_angle_gamma 90.00
_symmetry_space_group_name_H-M 'P 1 21/c 1'
_symmetry_Int_Tables_number 14
loop_
_symmetry_equiv_pos_as_xyz
'x,y,z'
'-x,-y,-z'
'-x,y+1/2,-z+1/2'
'x,-y+1/2,z+1/2'
loop_
_atom_site_label
_atom_site_type_symbol
_atom_site_fract_x
_atom_site_fract_y
_atom_site_fract_z
Ho1 Ho 0.190 0.171 0.071
Hf1 Hf 0.252 0.680 0.249
Hf2 Hf 0.500 0.000 0.500
Si1 Si 0.082 0.532 0.868
Si2 Si 0.490 0.124 0.870
```